[1]
The following is a DFT calculation (PBE) of a relaxed MoPS2Cl crystal.

abc: 4.6016 4.6016 4.5136
angles: 90.00 90.00 90.00
Closest atoms and distances in Å follow each position.
Fractional coordinates of all 5 atoms:
Mo1 0.0000 0.0000 0.0000  8 S 3.22, 4 P 3.25
P1 0.5000 0.5000 0.0000  2 Cl 2.26
S1 0.0000 0.5000 0.5000  2 Cl 2.30
S2 0.5000 0.0000 0.5000  2 Cl 2.30
Cl1 0.5000 0.5000 0.5000  2 P 2.26, 4 S 2.30

Results
- size of the total moment (μB per atom) = 0.415
- formation energy without anion corrections (eV/atom) = 1.48



[2]
The following is a DFT calculation (PBE) of a relaxed MoP2SCl crystal.

abc: 4.6002 4.6002 4.4131
angles: 90.00 90.00 90.00
Closest atoms and distances in Å follow each position.
Fractional coordinates of all 5 atoms:
Mo1 0.0000 0.0000 0.0000  8 P 3.19, 4 Cl 3.25
P1 0.0000 0.5000 0.5000  2 S 2.30
P2 0.5000 0.0000 0.5000  2 S 2.30
S1 0.5000 0.5000 0.5000  2 Cl 2.21, 4 P 2.30
Cl1 0.5000 0.5000 0.0000  2 S 2.21

Results
- size of the total moment (μB per atom) = 0.533
- formation energy without anion corrections (eV/atom) = 1.16



[3]
The following is a DFT calculation (PBE) of a relaxed MoPSCl2 crystal.

abc: 4.6095 4.6095 4.9781
angles: 90.00 90.00 90.00
Closest atoms and distances in Å follow each position.
Fractional coordinates of all 5 atoms:
Mo1 0.0000 0.0000 0.0000  4 P 3.26, 8 Cl 3.39
P1 0.5000 0.5000 0.0000  2 S 2.49
S1 0.5000 0.5000 0.5000  4 Cl 2.30, 2 P 2.49
Cl1 0.0000 0.5000 0.5000  2 S 2.30
Cl2 0.5000 0.0000 0.5000  2 S 2.30

Results
- size of the total moment (μB per atom) = 0.790
- formation energy without anion corrections (eV/atom) = 1.07



[4]
The following is a DFT calculation (PBE) of a relaxed MoPS2Cl crystal.

abc: 4.6706 4.6706 4.4830
angles: 90.00 90.00 90.00
Closest atoms and distances in Å follow each position.
Fractional coordinates of all 5 atoms:
Mo1 0.0000 0.0000 0.0000  8 S 3.24, 4 Cl 3.30
P1 0.5000 0.5000 0.5000  2 Cl 2.24, 4 S 2.34
S1 0.0000 0.5000 0.5000  2 P 2.34
S2 0.5000 0.0000 0.5000  2 P 2.34
Cl1 0.5000 0.5000 0.0000  2 P 2.24

Results
- size of the total moment (μB per atom) = 0.817
- formation energy without anion corrections (eV/atom) = 0.75



[5]
The following is a DFT calculation (PBE) of a relaxed MoPSCl2 crystal.

abc: 4.6587 4.6587 4.9514
angles: 90.00 90.00 90.00
Closest atoms and distances in Å follow each position.
Fractional coordinates of all 5 atoms:
Mo1 0.0000 0.0000 0.0000  4 S 3.29, 8 Cl 3.40
P1 0.5000 0.5000 0.5000  4 Cl 2.33, 2 S 2.48
S1 0.5000 0.5000 0.0000  2 P 2.48
Cl1 0.0000 0.5000 0.5000  2 P 2.33
Cl2 0.5000 0.0000 0.5000  2 P 2.33

Results
- size of the total moment (μB per atom) = 0.935
- formation energy without anion corrections (eV/atom) = 0.70



[6]
The following is a DFT calculation (PBE) of a relaxed MoPS2Cl crystal.

abc: 4.7014 4.7014 4.8325
angles: 90.00 90.00 90.00
Closest atoms and distances in Å follow each position.
Fractional coordinates of all 5 atoms:
Mo1 0.0000 0.0000 0.0000  4 S 2.35, 2 Cl 2.42
P1 0.5000 0.5000 0.5000  4 Cl 3.32, 8 S 3.37
S1 0.0000 0.5000 0.0000  2 Mo 2.35
S2 0.5000 0.0000 0.0000  2 Mo 2.35
Cl1 0.0000 0.0000 0.5000  2 Mo 2.42

Results
- size of the total moment (μB per atom) = 0.502
- formation energy without anion corrections (eV/atom) = 0.46



- Which value of formation energy without anion corrections does entry 5 give?
  0.70 eV/atom



Copy entry 4 word for word.
The following is a DFT calculation (PBE) of a relaxed MoPS2Cl crystal.

abc: 4.6706 4.6706 4.4830
angles: 90.00 90.00 90.00
Closest atoms and distances in Å follow each position.
Fractional coordinates of all 5 atoms:
Mo1 0.0000 0.0000 0.0000  8 S 3.24, 4 Cl 3.30
P1 0.5000 0.5000 0.5000  2 Cl 2.24, 4 S 2.34
S1 0.0000 0.5000 0.5000  2 P 2.34
S2 0.5000 0.0000 0.5000  2 P 2.34
Cl1 0.5000 0.5000 0.0000  2 P 2.24

Results
- size of the total moment (μB per atom) = 0.817
- formation energy without anion corrections (eV/atom) = 0.75



- Look up the size of the total moment of the third one.
  0.790 μB per atom